Record 1
A relaxed YMg3 crystal. Source: the Alexandria database, functional PBE-GGA.

Formation enthalpy at 0 K   -6.9 kJ per mole of atoms
Fermi-level density of states   0.735 states/eV/atom

a = 8.7183 Å, b = 8.7183 Å, c = 8.7183 Å
α = 146.60°, β = 146.60°, γ = 47.96°
Last column: nearest neighbours and their distance in Å.
Fractional positions:
Mg 0.5000 0.0000 0.5000  4 Y 3.25, 8 Mg 3.27-3.54
Mg 0.0000 0.5000 0.5000  4 Y 3.25, 8 Mg 3.27-3.54
Mg 0.2500 0.7500 0.5000  4 Mg 3.13, 4 Y 3.15
Mg 0.7500 0.2500 0.5000  4 Mg 3.13, 4 Y 3.15
Mg 0.8681 0.8681 0.0000  8 Mg 3.13-3.27
Mg 0.1319 0.1319 0.0000  8 Mg 3.13-3.27
Y 0.6300 0.6300 0.0000  8 Mg 3.15-3.25
Y 0.3700 0.3700 0.0000  8 Mg 3.15-3.25

***

Record 2
A relaxed Tb6Sn2Ge crystal. Source: the Alexandria database, functional PBE-GGA.

Formation enthalpy at 0 K   -58.4 kJ per mole of atoms
Fermi-level density of states   1.017 states/eV/atom

a = 4.2602 Å, b = 8.3025 Å, c = 8.3020 Å
α = 120.00°, β = 90.00°, γ = 90.00°
Last column: nearest neighbours and their distance in Å.
Fractional positions:
Tb 0.5000 0.5986 0.0000  4 Sn 3.31, 1 Ge 3.33, 6 Tb 3.59-3.61
Tb 0.5000 0.4014 0.4014  4 Sn 3.31, 1 Ge 3.33, 6 Tb 3.59-3.61
Tb 0.5000 0.0000 0.5986  4 Sn 3.31, 1 Ge 3.33, 6 Tb 3.59-3.61
Tb 0.0000 0.2500 0.0000  2 Ge 2.97, 2 Sn 3.17
Tb 0.0000 0.7500 0.7500  2 Ge 2.97, 2 Sn 3.17
Tb 0.0000 0.0000 0.2500  2 Ge 2.97, 2 Sn 3.17
Sn 0.0000 0.3333 0.6667  9 Tb 3.17-3.31
Sn 0.0000 0.6667 0.3333  9 Tb 3.17-3.31
Ge 0.5000 0.0000 0.0000  6 Tb 2.97